No. 1
A relaxed structure of SiTe2Pt. Source: Alexandria via LeMat-Bulk, functional PBE.

```
data_SiTe2Pt
_symmetry_space_group_name_H-M 'F m -3 m'
_symmetry_Int_Tables_number 225
_symmetry_space_group_name_Hall '-F 4 2 3'
_cell_length_a 6.972
_cell_length_b 6.972
_cell_length_c 6.972
_cell_angle_alpha 90.00
_cell_angle_beta 90.00
_cell_angle_gamma 90.00
loop_
_atom_site_label
_atom_site_type_symbol
_atom_site_fract_x
_atom_site_fract_y
_atom_site_fract_z
Si1 Si 0.000 0.000 0.000
Te1 Te 0.250 0.250 0.250
Pt1 Pt 0.000 0.000 0.500
```

No. 2
A relaxed structure of Si2TePt. Source: Alexandria via LeMat-Bulk, functional PBE.

```
data_Si2TePt
_symmetry_space_group_name_H-M 'P 4/m m m'
_symmetry_Int_Tables_number 123
_symmetry_space_group_name_Hall '-P 4 2'
_cell_length_a 3.859
_cell_length_b 3.859
_cell_length_c 5.107
_cell_angle_alpha 90.00
_cell_angle_beta 90.00
_cell_angle_gamma 90.00
loop_
_atom_site_label
_atom_site_type_symbol
_atom_site_fract_x
_atom_site_fract_y
_atom_site_fract_z
Si1 Si 0.000 0.500 0.000
Te1 Te 0.000 0.000 0.500
Pt1 Pt 0.500 0.500 0.500
```

No. 3
A relaxed structure of Si2TePt. Source: Alexandria via LeMat-Bulk, functional PBE.

```
data_Si2TePt
_symmetry_space_group_name_H-M 'P 4 m m'
_symmetry_Int_Tables_number 99
_symmetry_space_group_name_Hall 'P 4 -2'
_cell_length_a 3.140
_cell_length_b 3.140
_cell_length_c 7.850
_cell_angle_alpha 90.00
_cell_angle_beta 90.00
_cell_angle_gamma 90.00
loop_
_atom_site_label
_atom_site_type_symbol
_atom_site_fract_x
_atom_site_fract_y
_atom_site_fract_z
Si1 Si 0.000 0.000 0.000
Si2 Si 0.500 0.500 0.178
Te1 Te 0.000 0.000 0.535
Pt1 Pt 0.500 0.500 0.839
```

No. 4
A relaxed structure of SiTe2Pt. Source: Alexandria via LeMat-Bulk, functional PBE.

```
data_SiTe2Pt
_symmetry_space_group_name_H-M 'I -4 2 d'
_symmetry_Int_Tables_number 122
_symmetry_space_group_name_Hall 'I -4 2bw'
_cell_length_a 6.094
_cell_length_b 6.094
_cell_length_c 12.264
_cell_angle_alpha 90.00
_cell_angle_beta 90.00
_cell_angle_gamma 90.00
loop_
_atom_site_label
_atom_site_type_symbol
_atom_site_fract_x
_atom_site_fract_y
_atom_site_fract_z
Si1 Si 0.000 0.000 0.000
Te1 Te 0.242 0.250 0.625
Pt1 Pt 0.000 0.000 0.500
```

No. 5
A relaxed structure of SiTe2Pt. Source: Alexandria via LeMat-Bulk, functional PBE.

```
data_SiTe2Pt
_symmetry_space_group_name_H-M 'I m m m'
_symmetry_Int_Tables_number 71
_symmetry_space_group_name_Hall '-I 2 2'
_cell_length_a 3.784
_cell_length_b 3.846
_cell_length_c 13.290
_cell_angle_alpha 90.00
_cell_angle_beta 90.00
_cell_angle_gamma 90.00
loop_
_atom_site_label
_atom_site_type_symbol
_atom_site_fract_x
_atom_site_fract_y
_atom_site_fract_z
Si1 Si 0.000 0.000 0.000
Te1 Te 0.000 0.500 0.347
Pt1 Pt 0.000 0.000 0.500
```

No. 6
A relaxed structure of Si2TePt. Source: Alexandria via LeMat-Bulk, functional PBE.

```
data_Si2TePt
_symmetry_space_group_name_H-M 'I m m 2'
_symmetry_Int_Tables_number 44
_symmetry_space_group_name_Hall 'I 2 -2'
_cell_length_a 2.933
_cell_length_b 5.356
_cell_length_c 9.919
_cell_angle_alpha 90.00
_cell_angle_beta 90.00
_cell_angle_gamma 90.00
loop_
_atom_site_label
_atom_site_type_symbol
_atom_site_fract_x
_atom_site_fract_y
_atom_site_fract_z
Si1 Si 0.000 0.000 0.000
Si2 Si 0.000 0.500 0.274
Te1 Te 0.000 0.500 0.829
Pt1 Pt 0.000 0.000 0.581
```

No. 7
A relaxed structure of SiTe2Pt. Source: Alexandria via LeMat-Bulk, functional PBE.

```
data_SiTe2Pt
_symmetry_space_group_name_H-M 'R 3 m'
_symmetry_Int_Tables_number 160
_symmetry_space_group_name_Hall 'R 3 -2"'
_cell_length_a 3.9317
_cell_length_b 3.9317
_cell_length_c 20.3579
_cell_angle_alpha 90.00
_cell_angle_beta 90.00
_cell_angle_gamma 120.00
loop_
_atom_site_label
_atom_site_type_symbol
_atom_site_fract_x
_atom_site_fract_y
_atom_site_fract_z
Si1 Si 0.0000 0.0000 0.0000
Te1 Te 0.0000 0.0000 0.5374
Te2 Te 0.0000 0.0000 0.7567
Pt1 Pt 0.0000 0.0000 0.2807
```

No. 8
A relaxed structure of Si2TePt. Source: Alexandria via LeMat-Bulk, functional PBE.

```
data_Si2TePt
_symmetry_space_group_name_H-M 'I 4/m m m'
_symmetry_Int_Tables_number 139
_symmetry_space_group_name_Hall '-I 4 2'
_cell_length_a 5.357
_cell_length_b 5.357
_cell_length_c 5.329
_cell_angle_alpha 90.00
_cell_angle_beta 90.00
_cell_angle_gamma 90.00
loop_
_atom_site_label
_atom_site_type_symbol
_atom_site_fract_x
_atom_site_fract_y
_atom_site_fract_z
Si1 Si 0.000 0.500 0.000
Te1 Te 0.000 0.000 0.000
Pt1 Pt 0.000 0.000 0.500
```

No. 9
A relaxed structure of Si2TePt. Source: Alexandria via LeMat-Bulk, functional PBE.

```
data_Si2TePt
_symmetry_space_group_name_H-M 'I m m m'
_symmetry_Int_Tables_number 71
_symmetry_space_group_name_Hall '-I 2 2'
_cell_length_a 2.965
_cell_length_b 4.935
_cell_length_c 10.451
_cell_angle_alpha 90.00
_cell_angle_beta 90.00
_cell_angle_gamma 90.00
loop_
_atom_site_label
_atom_site_type_symbol
_atom_site_fract_x
_atom_site_fract_y
_atom_site_fract_z
Si1 Si 0.000 0.000 0.208
Te1 Te 0.000 0.500 0.000
Pt1 Pt 0.000 0.500 0.500
```

No. 10
A relaxed structure of SiTe2Pt. Source: Alexandria via LeMat-Bulk, functional PBE.

```
data_SiTe2Pt
_symmetry_space_group_name_H-M 'C 1 m 1'
_symmetry_Int_Tables_number 8
_symmetry_space_group_name_Hall 'C -2y'
_cell_length_a 13.037
_cell_length_b 3.291
_cell_length_c 5.110
_cell_angle_alpha 90.00
_cell_angle_beta 110.01
_cell_angle_gamma 90.00
loop_
_atom_site_label
_atom_site_type_symbol
_atom_site_fract_x
_atom_site_fract_y
_atom_site_fract_z
Si1 Si 0.000 0.000 0.000
Te1 Te 0.153 0.000 0.506
Te2 Te 0.356 0.000 0.180
Pt1 Pt 0.016 0.500 0.690
```

No. 11
A relaxed structure of SiTe2Pt. Source: Alexandria via LeMat-Bulk, functional PBE.

```
data_SiTe2Pt
_symmetry_space_group_name_H-M 'C m m m'
_symmetry_Int_Tables_number 65
_symmetry_space_group_name_Hall '-C 2 2'
_cell_length_a 5.756
_cell_length_b 7.939
_cell_length_c 4.010
_cell_angle_alpha 90.00
_cell_angle_beta 90.00
_cell_angle_gamma 90.00
loop_
_atom_site_label
_atom_site_type_symbol
_atom_site_fract_x
_atom_site_fract_y
_atom_site_fract_z
Si1 Si 0.000 0.000 0.000
Te1 Te 0.000 0.268 0.500
Pt1 Pt 0.000 0.500 0.000
```

No. 12
A relaxed structure of SiTe2Pt. Source: Alexandria via LeMat-Bulk, functional PBE.

```
data_SiTe2Pt
_symmetry_space_group_name_H-M 'P 1 m 1'
_symmetry_Int_Tables_number 6
_symmetry_space_group_name_Hall 'P -2y'
_cell_length_a 4.415
_cell_length_b 3.964
_cell_length_c 5.993
_cell_angle_alpha 90.00
_cell_angle_beta 95.95
_cell_angle_gamma 90.00
loop_
_atom_site_label
_atom_site_type_symbol
_atom_site_fract_x
_atom_site_fract_y
_atom_site_fract_z
Si1 Si 0.000 0.000 0.000
Te1 Te 0.135 0.500 0.706
Te2 Te 0.490 0.000 0.277
Pt1 Pt 0.701 0.500 0.002
```

Number 1: excess energy over the best structure of this formula in the dataset 0.559 eV/atom, density of states at the Fermi level 14.7 states/eV per cell. Number 2: excess energy over the best structure of this formula in the dataset 0.525 eV/atom, density of states at the Fermi level 2.9 states/eV per cell. Number 3: excess energy over the best structure of this formula in the dataset 0.274 eV/atom, density of states at the Fermi level 1.0 states/eV per cell. Number 4: excess energy over the best structure of this formula in the dataset 0.196 eV/atom, density of states at the Fermi level 2.6 states/eV per cell. Number 5: excess energy over the best structure of this formula in the dataset 0.120 eV/atom, density of states at the Fermi level 4.5 states/eV per cell. Number 6: excess energy over the best structure of this formula in the dataset 0.391 eV/atom, density of states at the Fermi level 3.7 states/eV per cell. Number 7: excess energy over the best structure of this formula in the dataset 0.003 eV/atom, density of states at the Fermi level 6.2 states/eV per cell. Number 8: excess energy over the best structure of this formula in the dataset 0.188 eV/atom, density of states at the Fermi level 3.8 states/eV per cell. Number 9: excess energy over the best structure of this formula in the dataset 0.384 eV/atom, density of states at the Fermi level 4.0 states/eV per cell. Number 10: excess energy over the best structure of this formula in the dataset 0.104 eV/atom, density of states at the Fermi level 6.2 states/eV per cell. Number 11: excess energy over the best structure of this formula in the dataset 0.204 eV/atom, density of states at the Fermi level 4.4 states/eV per cell. Number 12: excess energy over the best structure of this formula in the dataset 0.000 eV/atom, density of states at the Fermi level 0.9 states/eV per cell.